#A
A relaxed structure of MgBe2Ir2, computed with PBE-GGA.

Structure (CIF):
```
data_MgBe2Ir2
_space_group_name_H-M_alt 'I 4/m m m'
_space_group_IT_number 139
_space_group_name_Hall '-I 4 2'
_cell_length_a 3.7556
_cell_length_b 3.7556
_cell_length_c 9.9881
_cell_angle_alpha 90.00
_cell_angle_beta 90.00
_cell_angle_gamma 90.00
loop_
_atom_site_label
_atom_site_type_symbol
_atom_site_fract_x
_atom_site_fract_y
_atom_site_fract_z
Mg1 Mg 0.0000 0.0000 0.0000
Be1 Be 0.0000 0.5000 0.2500
Ir1 Ir 0.0000 0.0000 0.3754
```

***

#B
A relaxed structure of MgBe2Ir2, computed with PBE-GGA.

Structure (CIF):
```
data_MgBe2Ir2
_space_group_name_H-M_alt 'P 4/m b m'
_space_group_IT_number 127
_space_group_name_Hall '-P 4 2ab'
_cell_length_a 6.7344
_cell_length_b 6.7344
_cell_length_c 2.8241
_cell_angle_alpha 90.00
_cell_angle_beta 90.00
_cell_angle_gamma 90.00
loop_
_atom_site_label
_atom_site_type_symbol
_atom_site_fract_x
_atom_site_fract_y
_atom_site_fract_z
Mg1 Mg 0.0000 0.0000 0.0000
Be1 Be 0.1483 0.3517 0.5000
Ir1 Ir 0.1443 0.6443 0.0000
```

***

#C
A relaxed structure of MgBe2Ir2, computed with PBE-GGA.

Structure (CIF):
```
data_MgBe2Ir2
_space_group_name_H-M_alt 'P 4/m b m'
_space_group_IT_number 127
_space_group_name_Hall '-P 4 2ab'
_cell_length_a 6.4130
_cell_length_b 6.4130
_cell_length_c 2.9210
_cell_angle_alpha 90.00
_cell_angle_beta 90.00
_cell_angle_gamma 90.00
loop_
_atom_site_label
_atom_site_type_symbol
_atom_site_fract_x
_atom_site_fract_y
_atom_site_fract_z
Mg1 Mg 0.0000 0.0000 0.0000
Be1 Be 0.1248 0.3752 0.0000
Ir1 Ir 0.1634 0.6634 0.5000
```

***

Ranking the structures above from most stable to least stable yields #C, #B, #A.